DFT (PBEsol) results for crystalline TaSb2Os at its relaxed geometry.

abc: 4.7616 4.7616 4.7616
angles: 60.00 60.00 60.00
Last column: nearest neighbours and their distance in Å.
Sites, in units of the cell vectors:
Ta1 0.0000 0.0000 0.0000  4 Sb 2.92, 4 Os 2.92
Sb1 0.5000 0.5000 0.5000  4 Sb 2.92, 4 Os 2.92
Sb2 0.7500 0.7500 0.7500  4 Ta 2.92, 4 Sb 2.92
Os1 0.2500 0.2500 0.2500  4 Ta 2.92, 4 Sb 2.92

Total magnetic moment in μB/cell: 0.00
Raw formation energy in eV per atom: 0.6834
DOS(E_F) in states/eV/atom: 1.385
Total DFT energy (no corrections) in eV/atom: -7.787
Calculated volume in Å³ per atom: 19.1
Density in g/cm3: 13.37
Symmetry: F-43m, No. 216